(1)
Computed, not measured: a geometry-optimized KNa17Cd11 structure at the GGA-PBE level of DFT.

Lattice parameters (Å, degrees): 10.207 10.207 10.384 109.38 109.38 108.19
Element x y z (fractional)
1 K 0.000 0.000 0.000
2 Na 0.101 0.511 0.902
3 Na 0.133 0.427 0.218
4 Na 0.152 0.802 0.779
5 Na 0.172 0.810 0.223
6 Na 0.214 0.510 0.609
7 Na 0.247 0.247 0.916
8 Na 0.408 0.815 0.532
9 Na 0.427 0.133 0.218
10 Na 0.492 0.492 0.886
11 Na 0.493 0.493 0.482
12 Na 0.510 0.214 0.609
13 Na 0.511 0.101 0.902
14 Na 0.802 0.152 0.779
15 Na 0.803 0.803 0.545
16 Na 0.810 0.172 0.223
17 Na 0.814 0.814 0.218
18 Na 0.815 0.408 0.532
19 Cd 0.168 0.982 0.573
20 Cd 0.175 0.175 0.402
21 Cd 0.452 0.632 0.215
22 Cd 0.454 0.817 0.036
23 Cd 0.601 0.793 0.833
24 Cd 0.631 0.994 0.394
25 Cd 0.632 0.452 0.215
26 Cd 0.793 0.601 0.833
27 Cd 0.817 0.454 0.036
28 Cd 0.982 0.168 0.573
29 Cd 0.994 0.631 0.394

Summary:
As for the symmetry: Cm (8). As for the crystal system: monoclinic. The value obtained for the energy of formation is -0.0599 eV/atom. The value obtained for the density of states at the Fermi level is 14.3 states/eV/f.u.

=====

(2)
Computed, not measured: a geometry-optimized K3Na6Cd structure at the GGA-PBE level of DFT.

Lattice parameters (Å, degrees): 10.182 10.182 10.139 90.00 90.00 123.80
Element x y z (fractional)
1 K 0.025 0.975 0.500
2 K 0.174 0.386 0.697
3 K 0.386 0.174 0.197
4 K 0.614 0.826 0.697
5 K 0.826 0.614 0.197
6 K 0.975 0.025 0.000
7 Na 0.028 0.596 0.517
8 Na 0.205 0.425 0.311
9 Na 0.210 0.790 0.875
10 Na 0.404 0.972 0.517
11 Na 0.424 0.576 0.017
12 Na 0.425 0.205 0.811
13 Na 0.575 0.795 0.311
14 Na 0.576 0.424 0.517
15 Na 0.596 0.028 0.017
16 Na 0.790 0.210 0.375
17 Na 0.795 0.575 0.811
18 Na 0.972 0.404 0.017
19 Cd 0.247 0.753 0.206
20 Cd 0.753 0.247 0.706

Summary:
As for the symmetry: Cmc2_1 (36). As for the crystal system: orthorhombic. The value obtained for the energy of formation is 0.0237 eV/atom. The value obtained for the density of states at the Fermi level is 6.5 states/eV/f.u.

=====

(3)
Computed, not measured: a geometry-optimized K6NaCd2O structure at the GGA-PBE level of DFT.

Lattice parameters (Å, degrees): 8.633 8.633 8.593 119.81 119.81 90.07
Element x y z (fractional)
1 K 0.000 0.000 0.000
2 K 0.000 0.000 0.429
3 K 0.001 0.574 0.002
4 K 0.574 0.001 0.002
5 K 0.574 0.574 0.004
6 K 0.574 0.574 0.574
7 Na 0.287 0.287 0.001
8 Cd 0.038 0.537 0.501
9 Cd 0.537 0.038 0.501
10 O 0.787 0.787 0.002

Summary:
The uncorrected formation energy is -24 kJ per mole of atoms. As for the symmetry: Cm (8). As for the crystal system: monoclinic. The value obtained for the density of states at the Fermi level is 6.0 states/eV/f.u.

=====

(4)
Computed, not measured: a geometry-optimized K2NaCdO structure at the GGA-PBE level of DFT.

Lattice parameters (Å, degrees): 5.613 5.613 4.623 90.00 90.00 90.00
Element x y z (fractional)
1 K 0.000 0.500 0.000
2 K 0.500 0.000 0.000
3 Na 0.000 0.000 0.500
4 Cd 0.500 0.500 0.500
5 O 0.000 0.000 0.000

Summary:
The uncorrected formation energy is -55 kJ per mole of atoms. As for the symmetry: P4/mmm (123). As for the crystal system: tetragonal. The value obtained for the density of states at the Fermi level is 2.4 states/eV/f.u.

=====

(5)
Computed, not measured: a geometry-optimized K6Na2CdO structure at the GGA-PBE level of DFT.

Lattice parameters (Å, degrees): 8.782 8.782 8.709 119.46 119.46 90.22
Element x y z (fractional)
1 K 0.211 0.211 0.427
2 K 0.211 0.211 0.996
3 K 0.213 0.787 0.000
4 K 0.787 0.213 0.000
5 K 0.789 0.789 0.004
6 K 0.789 0.789 0.573
7 Na 0.254 0.746 0.500
8 Na 0.746 0.254 0.500
9 Cd 0.500 0.500 0.000
10 O 0.000 0.000 0.000

Summary:
The uncorrected formation energy is -27 kJ per mole of atoms. As for the symmetry: C2/m (12). As for the crystal system: monoclinic. The value obtained for the density of states at the Fermi level is 7.7 states/eV/f.u.

=====

(6)
Computed, not measured: a geometry-optimized KNaCdO2 structure at the GGA-PBE level of DFT.

Lattice parameters (Å, degrees): 6.817 6.817 8.269 107.13 107.13 30.95
Element x y z (fractional)
1 K 0.192 0.192 0.145
2 K 0.808 0.808 0.855
3 Na 0.168 0.168 0.534
4 Na 0.832 0.832 0.466
5 Cd 0.473 0.473 0.263
6 Cd 0.527 0.527 0.737
7 O 0.127 0.127 0.795
8 O 0.359 0.359 0.645
9 O 0.641 0.641 0.355
10 O 0.873 0.873 0.205

Summary:
The uncorrected formation energy is -113 kJ per mole of atoms. As for the symmetry: C2/m (12). As for the crystal system: monoclinic.

=====

(7)
Computed, not measured: a geometry-optimized KNa2CdP structure at the GGA-PBE level of DFT.

Lattice parameters (Å, degrees): 5.525 5.525 5.468 90.00 90.00 90.00
Element x y z (fractional)
1 K 0.000 0.000 0.000
2 Na 0.000 0.500 0.500
3 Na 0.500 0.000 0.500
4 Cd 0.500 0.500 0.000
5 P 0.500 0.500 0.500

Summary:
As for the symmetry: P4/mmm (123). As for the crystal system: tetragonal. The value obtained for the energy of formation is -0.0882 eV/atom. The value obtained for the density of states at the Fermi level is 2.2 states/eV/f.u.

=====

(8)
Computed, not measured: a geometry-optimized KNa2CdPb structure at the GGA-PBE level of DFT.

Lattice parameters (Å, degrees): 6.061 6.061 5.803 90.00 90.00 90.00
Element x y z (fractional)
1 K 0.000 0.000 0.000
2 Na 0.000 0.500 0.500
3 Na 0.500 0.000 0.500
4 Cd 0.500 0.500 0.000
5 Pb 0.500 0.500 0.500

Summary:
As for the symmetry: P4/mmm (123). As for the crystal system: tetragonal. The value obtained for the energy of formation is -0.0047 eV/atom. The value obtained for the distance to the lowest polymorph of the same formula is 0 meV per atom. The value obtained for the density of states at the Fermi level is 2.1 states/eV/f.u.